DFT (PBE-GGA) results for a relaxed Sb4IrPt crystal.

Results
The crystal system is monoclinic. For the energy above the most stable polymorph in this dataset, the calculation gives 0.0 meV/atom. The uncorrected formation energy comes out at -0.378 eV/atom. The symmetry is No. 14.

Cell: 6.5192 6.5249 6.5099 Å, 90.00 91.24 90.00°
Fractional positions:
Sb 0.6326 0.6289 0.6205
Sb 0.3674 0.3711 0.3795
Sb 0.6206 0.1265 0.8695
Sb 0.8674 0.1289 0.3795
Sb 0.1206 0.3735 0.8695
Sb 0.1326 0.8711 0.6205
Sb 0.8794 0.6265 0.1305
Sb 0.3794 0.8735 0.1305
Ir 0.5000 0.0000 0.5000
Ir 0.0000 0.5000 0.5000
Pt 0.5000 0.5000 0.0000
Pt 0.0000 0.0000 0.0000


DFT (PBE-GGA) results for a relaxed La4BeO7 crystal.

Results
The crystal system is monoclinic. The uncorrected formation energy comes out at -3.168 eV/atom. The symmetry is No. 12.

Cell: 4.1170 6.9257 6.9386 Å, 80.55 72.74 72.71°
Fractional positions:
La 0.2642 0.3295 0.1422
La 0.5820 0.2134 0.6227
La 0.4180 0.7866 0.3773
La 0.7358 0.6705 0.8578
O 0.2011 0.1492 0.4486
O 0.6359 0.4451 0.2830
O 0.3641 0.5549 0.7170
O 0.0715 0.7683 0.0887
O 0.9285 0.2317 0.9113
O 0.5000 0.0000 0.0000
O 0.7989 0.8508 0.5514
Be 0.0000 0.0000 0.0000


DFT (PBE-GGA) results for a relaxed BeCd2Hg crystal.

Results
The crystal system is orthorhombic. For the energy above the most stable polymorph in this dataset, the calculation gives 104.2 meV/atom. The symmetry is No. 35. The formation energy is 1.2 eV/f.u.

Cell: 3.3425 3.3425 9.2195 Å, 90.00 90.00 127.77°
Fractional positions:
Cd 0.0000 0.0000 0.9687
Cd 0.5000 0.5000 0.2513
Hg 0.0000 0.0000 0.5342
Be 0.5000 0.5000 0.7459


DFT (PBE-GGA) results for a relaxed Ba2NiSn2H4 crystal.

Results
The crystal system is tetragonal. As for the total energy: -3.60 eV per atom. The symmetry is No. 139.

Cell: 6.2707 6.2707 6.2707 Å, 100.22 114.28 114.28°
Fractional positions:
Ba 0.5000 0.2500 0.7500
Ba 0.5000 0.7500 0.2500
H 0.3232 0.1616 0.1616
H 0.6768 0.8384 0.8384
H 0.0000 0.8384 0.1616
H 0.0000 0.1616 0.8384
Sn 0.0000 0.6686 0.6686
Sn 0.0000 0.3314 0.3314
Ni 0.0000 0.0000 0.0000


DFT (PBE-GGA) results for a relaxed Y2BeAu crystal.

Results
The crystal system is orthorhombic. The symmetry is No. 44. The formation energy is -1.1 eV/f.u.

Cell: 6.0181 6.0181 6.0181 Å, 146.33 133.33 58.77°
Fractional positions:
Y 0.2667 0.7667 0.5000
Y 0.9824 0.9824 0.0000
Au 0.5465 0.5465 0.0000
Be 0.7044 0.2044 0.5000


DFT (PBE-GGA) results for a relaxed CoRe2Tc crystal.

Results
The crystal system is monoclinic. For the energy above the most stable polymorph in this dataset, the calculation gives 74.7 meV/atom. The symmetry is No. 8. The formation energy is 0.4 eV/f.u.

Cell: 4.6324 4.6324 4.6804 Å, 80.49 80.49 34.14°
Fractional positions:
Tc 0.5027 0.5027 0.4946
Re 0.7500 0.7500 0.7470
Re 0.9955 0.9955 0.0158
Co 0.2519 0.2519 0.2426


DFT (PBE-GGA) results for a relaxed Er3Ga3Ge crystal.

Results
The crystal system is monoclinic. The symmetry is No. 12. The formation energy is -4.4 eV/f.u.

Cell: 4.2336 5.7899 13.6309 Å, 81.96 81.07 68.56°
Fractional positions:
Ge 0.7836 0.0587 0.3741
Ge 0.2164 0.9413 0.6259
Ga 0.8947 0.1348 0.0759
Ga 0.1368 0.2676 0.4587
Ga 0.1053 0.8652 0.9241
Ga 0.0021 0.2168 0.7790
Ga 0.8632 0.7324 0.5413
Ga 0.9979 0.7832 0.2210
Er 0.3870 0.2994 0.9266
Er 0.5058 0.3617 0.6267
Er 0.2714 0.2307 0.2265
Er 0.4942 0.6383 0.3733
Er 0.6130 0.7006 0.0734
Er 0.7286 0.7693 0.7735


DFT (PBE-GGA) results for a relaxed Na5Hg6Sb crystal.

Results
The crystal system is monoclinic. The uncorrected formation energy comes out at -0.242 eV/atom. The symmetry is No. 12.

Cell: 4.9946 8.7055 8.7406 Å, 119.85 106.57 90.06°
Fractional positions:
Hg 0.8304 0.5700 0.6609
Hg 0.1696 0.4300 0.3391
Hg 0.5000 0.2683 0.0000
Hg 0.8305 0.0909 0.6609
Hg 0.5000 0.7317 0.0000
Hg 0.1695 0.9091 0.3391
Na 0.6525 0.1525 0.3051
Na 0.6708 0.6708 0.3417
Na 0.0000 0.5000 0.0000
Na 0.3292 0.3292 0.6583
Na 0.3475 0.8475 0.6949
Sb 0.0000 0.0000 0.0000


DFT (PBE-GGA) results for a relaxed TbEr12Ni4 crystal.

Results
The crystal system is cubic. The symmetry is No. 204. The formation energy is -0.5 eV/f.u.

Cell: 8.6122 8.6122 8.6122 Å, 109.47 109.47 109.47°
Fractional positions:
Er 0.3121 0.4916 0.1795
Er 0.8205 0.3121 0.1327
Er 0.1327 0.8205 0.3121
Er 0.6879 0.8673 0.1795
Er 0.5084 0.8205 0.6879
Er 0.8673 0.1795 0.6879
Er 0.1795 0.6879 0.8673
Er 0.1795 0.3121 0.4916
Er 0.4916 0.1795 0.3121
Er 0.8205 0.6879 0.5084
Er 0.3121 0.1327 0.8205
Er 0.6879 0.5084 0.8205
Ni 0.5000 0.0000 0.0000
Ni 0.0000 0.0000 0.5000
Ni 0.0000 0.5000 0.0000
Ni 0.5000 0.5000 0.5000
Tb 0.0000 0.0000 0.0000


DFT (PBE-GGA) results for a relaxed LaAl3Pd2 crystal.

Results
The crystal system is orthorhombic. For the energy above the most stable polymorph in this dataset, the calculation gives 38.4 meV/atom. The symmetry is No. 63. The formation energy is -4.8 eV/f.u.

Cell: 5.4891 6.5701 6.5701 Å, 102.94 90.00 90.00°
Fractional positions:
Al 0.7500 0.0919 0.4667
Al 0.7500 0.4667 0.0919
Al 0.7500 0.0585 0.0585
Al 0.2500 0.9081 0.5333
Al 0.2500 0.9415 0.9415
Al 0.2500 0.5333 0.9081
Pd 0.5000 0.2066 0.7934
Pd 0.0000 0.7934 0.2066
Pd 0.0000 0.2066 0.7934
Pd 0.5000 0.7934 0.2066
La 0.7500 0.6587 0.6587
La 0.2500 0.3413 0.3413


DFT (PBE-GGA) results for a relaxed Sm8DyY5 crystal.

Results
The crystal system is tetragonal. The symmetry is No. 82. The formation energy is 3.6 eV/f.u.

Cell: 8.5485 8.5485 8.5485 Å, 111.08 106.31 111.08°
Fractional positions:
Y 0.8695 0.9052 0.1853
Y 0.0357 0.3159 0.1305
Y 0.2802 0.0948 0.9643
Y 0.5000 0.0000 0.5000
Y 0.8147 0.6841 0.7198
Dy 0.2500 0.5000 0.7500
Sm 0.3436 0.2683 0.4302
Sm 0.1619 0.7317 0.0753
Sm 0.5698 0.9134 0.8381
Sm 0.9247 0.0866 0.6564
Sm 0.7316 0.2594 0.3354
Sm 0.6646 0.3961 0.9240
Sm 0.0760 0.7406 0.4722
Sm 0.5278 0.6039 0.2684


DFT (PBE-GGA) results for a relaxed NaGaSb2Te crystal.

Results
The crystal system is tetragonal. For the energy above the most stable polymorph in this dataset, the calculation gives 425.1 meV/atom. The uncorrected formation energy comes out at 0.639 eV/atom. The symmetry is No. 123.

Cell: 5.4459 5.4459 5.6012 Å, 90.00 90.00 90.00°
Fractional positions:
Na 0.0000 0.0000 0.0000
Te 0.0000 0.0000 0.5000
Sb 0.5000 0.0000 0.0000
Sb 0.0000 0.5000 0.0000
Ga 0.5000 0.5000 0.5000


DFT (PBE-GGA) results for a relaxed CoSe2Cl crystal.

Results
The crystal system is tetragonal. For the energy above the most stable polymorph in this dataset, the calculation gives 601.3 meV/atom. The uncorrected formation energy comes out at 0.350 eV/atom. The symmetry is No. 123.

Cell: 3.6600 3.6609 6.8127 Å, 90.00 90.00 90.00°
Fractional positions:
Se 0.0000 0.0000 0.0000
Se 0.5000 0.5000 0.0000
Cl 0.5000 0.0000 0.5000
Co 0.0000 0.5000 0.5000


DFT (PBE-GGA) results for a relaxed Ac2Pd6PbAu crystal.

Results
The crystal system is triclinic. The symmetry is No. 2. The formation energy is -5.8 eV/f.u.

Cell: 6.9256 7.0106 5.5552 Å, 66.72 66.30 78.05°
Fractional positions:
Pd 0.2721 0.2340 0.9916
Pd 0.7279 0.7660 0.0084
Pd 0.9336 0.4279 0.8208
Pd 0.2707 0.2357 0.5019
Pd 0.7293 0.7643 0.4981
Pd 0.0664 0.5721 0.1792
Au 0.0000 0.0000 0.0000
Ac 0.7388 0.2066 0.5270
Ac 0.2612 0.7934 0.4730
Pb 0.5000 0.5000 0.0000